First-principles (PBE) data for an optimized crystal structure of PrSm2ScSb4, as listed in the Alexandria database.

a = 4.4300 Å, b = 7.6563 Å, c = 7.6661 Å
α = 109.50°, β = 90.00°, γ = 90.00°
Closest atoms and distances in Å follow each position.
Fractional coordinates of all 8 atoms:
Sm: 0.0000 0.5000 0.5000  6 Sb 3.21
Sm: 0.5000 0.0000 0.5000  6 Sb 3.11
Sc: 0.0000 0.0000 0.0000  6 Sb 3.05
Sb: 0.5000 0.7651 0.7616  2 Sc 3.05, 3 Sm 3.11-3.21, 1 Pr 3.15
Sb: 0.0000 0.7603 0.2470  1 Sc 3.05, 3 Sm 3.11-3.21, 2 Pr 3.15
Sb: 0.5000 0.2349 0.2384  2 Sc 3.05, 3 Sm 3.11-3.21, 1 Pr 3.15
Sb: 0.0000 0.2397 0.7530  1 Sc 3.05, 3 Sm 3.11-3.21, 2 Pr 3.15
Pr: 0.5000 0.5000 0.0000  6 Sb 3.15

Output
* SG: P2/m, No. 10
* N(E_F): 1.098 states/eV per cell
* raw formation energy: -1.09 eV/atom
* E: -0.2102 hartree per atom
* crystal system: monoclinic